# 1
Material: DyGa4PtRh2
Method: DFT, GGA-PBE
State: optimized geometry

Cell: 8.946 8.946 8.946 Å, 27.57 27.57 27.57°
Fractional positions:
Dy 0.000 0.000 0.000
Ga 0.128 0.128 0.128
Ga 0.397 0.397 0.397
Ga 0.603 0.603 0.603
Ga 0.872 0.872 0.872
Pt 0.500 0.500 0.500
Rh 0.234 0.234 0.234
Rh 0.766 0.766 0.766

Values from the calculation:
Crystal system: trigonal
ΔE_f (eV/atom): -0.66
V (Å³/f.u.): 135
Total moment (μB per formula unit): 0.00



# 2
Material: Dy2Ga4Pt3Rh
Method: DFT, GGA-PBE
State: optimized geometry

Cell: 4.141 4.141 10.804 Å, 90.00 90.00 90.00°
Fractional positions:
Dy 0.000 0.500 0.245
Dy 0.500 0.000 0.755
Ga 0.000 0.000 0.500
Ga 0.000 0.500 0.870
Ga 0.500 0.000 0.130
Ga 0.500 0.500 0.500
Pt 0.000 0.000 0.000
Pt 0.000 0.500 0.640
Pt 0.500 0.000 0.360
Rh 0.500 0.500 0.000

Values from the calculation:
Crystal system: tetragonal
ΔE_f (eV/atom): -0.94
V (Å³/f.u.): 185
Total moment (μB per formula unit): 0.00



# 3
Material: DyGa3PtRh
Method: DFT, GGA-PBE
State: optimized geometry

Cell: 6.996 6.996 5.616 Å, 90.00 90.00 126.37°
Fractional positions:
Dy 0.226 0.774 0.750
Dy 0.774 0.226 0.250
Ga 0.197 0.197 0.000
Ga 0.197 0.197 0.500
Ga 0.356 0.644 0.250
Ga 0.644 0.356 0.750
Ga 0.803 0.803 0.000
Ga 0.803 0.803 0.500
Pt 0.156 0.844 0.250
Pt 0.844 0.156 0.750
Rh 0.438 0.562 0.750
Rh 0.562 0.438 0.250

Values from the calculation:
Crystal system: orthorhombic
ΔE_f (eV/atom): -0.61
V (Å³/f.u.): 111
Total moment (μB per formula unit): 0.00



# 4
Material: Dy2Ga3Pt4Rh
Method: DFT, GGA-PBE
State: optimized geometry

Cell: 4.002 4.002 11.557 Å, 90.00 90.00 90.00°
Fractional positions:
Dy 0.000 0.500 0.241
Dy 0.500 0.000 0.759
Ga 0.000 0.000 0.000
Ga 0.000 0.500 0.633
Ga 0.500 0.000 0.367
Pt 0.000 0.000 0.500
Pt 0.000 0.500 0.844
Pt 0.500 0.000 0.156
Pt 0.500 0.500 0.500
Rh 0.500 0.500 0.000

Values from the calculation:
Crystal system: tetragonal
ΔE_f (eV/atom): -0.88
V (Å³/f.u.): 185
Total moment (μB per formula unit): 0.00



# 5
Material: DyGaPtRh
Method: DFT, GGA-PBE
State: optimized geometry

Cell: 6.550 6.550 6.550 Å, 90.00 90.00 90.00°
Fractional positions:
Dy 0.000 0.000 0.000
Dy 0.000 0.500 0.500
Dy 0.500 0.000 0.500
Dy 0.500 0.500 0.000
Ga 0.000 0.000 0.500
Ga 0.000 0.500 0.000
Ga 0.500 0.000 0.000
Ga 0.500 0.500 0.500
Pt 0.250 0.250 0.750
Pt 0.250 0.750 0.250
Pt 0.750 0.250 0.250
Pt 0.750 0.750 0.750
Rh 0.250 0.250 0.250
Rh 0.250 0.750 0.750
Rh 0.750 0.250 0.750
Rh 0.750 0.750 0.250

Values from the calculation:
Crystal system: cubic
ΔE_f (eV/atom): -0.82
V (Å³/f.u.): 70
Total moment (μB per formula unit): 0.00



# 6
Material: DyGa4Ru2Pt
Method: DFT, GGA-PBE
State: optimized geometry

Cell: 8.828 8.828 8.828 Å, 28.03 28.03 28.03°
Fractional positions:
Dy 0.000 0.000 0.000
Ga 0.128 0.128 0.128
Ga 0.397 0.397 0.397
Ga 0.603 0.603 0.603
Ga 0.872 0.872 0.872
Ru 0.235 0.235 0.235
Ru 0.765 0.765 0.765
Pt 0.500 0.500 0.500

Values from the calculation:
Crystal system: trigonal
ΔE_f (eV/atom): -0.48
V (Å³/f.u.): 134
Total moment (μB per formula unit): 0.00



# 7
Material: DyGa4RuPt2
Method: DFT, GGA-PBE
State: optimized geometry

Cell: 8.963 8.963 8.963 Å, 27.54 27.54 27.54°
Fractional positions:
Dy 0.000 0.000 0.000
Ga 0.133 0.133 0.133
Ga 0.398 0.398 0.398
Ga 0.602 0.602 0.602
Ga 0.867 0.867 0.867
Ru 0.500 0.500 0.500
Pt 0.239 0.239 0.239
Pt 0.761 0.761 0.761

Values from the calculation:
Crystal system: trigonal
ΔE_f (eV/atom): -0.64
V (Å³/f.u.): 136
Total moment (μB per formula unit): 0.00



# 8
Material: Dy4GaPtS2
Method: DFT, GGA-PBE
State: optimized geometry

Cell: 6.764 3.898 7.409 Å, 90.00 108.15 90.00°
Fractional positions:
Dy 0.242 0.000 0.235
Dy 0.243 0.500 0.751
Dy 0.757 0.500 0.249
Dy 0.758 0.000 0.765
Ga 0.500 0.500 0.500
Pt 0.000 0.000 0.500
S 0.000 0.500 0.000
S 0.500 0.000 0.000

Values from the calculation:
Crystal system: monoclinic
V (Å³/f.u.): 186
Total moment (μB per formula unit): 0.00
Energy relative to the elements, uncorrected (eV per atom): -1.3828



# 9
Material: DyScGaPt
Method: DFT, GGA-PBE
State: optimized geometry

Cell: 4.387 3.613 10.627 Å, 90.00 90.00 90.00°
Fractional positions:
Dy 0.000 0.000 0.000
Dy 0.000 0.500 0.500
Sc 0.500 0.000 0.288
Sc 0.500 0.500 0.788
Ga 0.500 0.000 0.574
Ga 0.500 0.500 0.074
Pt 0.000 0.000 0.728
Pt 0.000 0.500 0.228

Values from the calculation:
Crystal system: orthorhombic
ΔE_f (eV/atom): -0.91
V (Å³/f.u.): 84
Total moment (μB per formula unit): 0.00
Energy relative to the lowest polymorph listed for this composition (eV per formula unit): 0.000



# 10
Material: Dy2ScGa3Pt4
Method: DFT, GGA-PBE
State: optimized geometry

Cell: 4.093 4.093 11.467 Å, 90.00 90.00 90.00°
Fractional positions:
Dy 0.000 0.500 0.235
Dy 0.500 0.000 0.765
Sc 0.000 0.000 0.500
Ga 0.000 0.500 0.869
Ga 0.500 0.000 0.131
Ga 0.500 0.500 0.500
Pt 0.000 0.000 0.000
Pt 0.000 0.500 0.652
Pt 0.500 0.000 0.348
Pt 0.500 0.500 0.000

Values from the calculation:
Crystal system: tetragonal
ΔE_f (eV/atom): -1.01
V (Å³/f.u.): 192
Total moment (μB per formula unit): 0.00



# 11
Material: Dy2ScGa4Pt3
Method: DFT, GGA-PBE
State: optimized geometry

Cell: 4.041 4.041 11.883 Å, 90.00 90.00 90.00°
Fractional positions:
Dy 0.000 0.500 0.237
Dy 0.500 0.000 0.763
Sc 0.000 0.000 0.500
Ga 0.000 0.000 0.000
Ga 0.000 0.500 0.654
Ga 0.500 0.000 0.346
Ga 0.500 0.500 0.000
Pt 0.000 0.500 0.863
Pt 0.500 0.000 0.137
Pt 0.500 0.500 0.500

Values from the calculation:
Crystal system: tetragonal
ΔE_f (eV/atom): -0.90
V (Å³/f.u.): 194
Total moment (μB per formula unit): 0.00



# 12
Material: DyScGaPt
Method: DFT, GGA-PBE
State: optimized geometry

Cell: 6.883 6.883 6.883 Å, 90.00 90.00 90.00°
Fractional positions:
Dy 0.000 0.000 0.000
Dy 0.000 0.500 0.500
Dy 0.500 0.000 0.500
Dy 0.500 0.500 0.000
Sc 0.000 0.000 0.500
Sc 0.000 0.500 0.000
Sc 0.500 0.000 0.000
Sc 0.500 0.500 0.500
Ga 0.250 0.250 0.250
Ga 0.250 0.750 0.750
Ga 0.750 0.250 0.750
Ga 0.750 0.750 0.250
Pt 0.250 0.250 0.750
Pt 0.250 0.750 0.250
Pt 0.750 0.250 0.250
Pt 0.750 0.750 0.750

Values from the calculation:
Crystal system: cubic
ΔE_f (eV/atom): -0.86
V (Å³/f.u.): 82
Total moment (μB per formula unit): 0.00
Energy relative to the lowest polymorph listed for this composition (eV per formula unit): 0.186



# 13
Material: Dy4GaPtSe2
Method: DFT, GGA-PBE
State: optimized geometry

Cell: 6.947 3.987 7.534 Å, 90.00 108.16 90.00°
Fractional positions:
Dy 0.240 0.000 0.238
Dy 0.246 0.500 0.751
Dy 0.754 0.500 0.249
Dy 0.760 0.000 0.762
Ga 0.500 0.000 0.000
Pt 0.000 0.500 0.000
Se 0.000 0.000 0.500
Se 0.500 0.500 0.500

Values from the calculation:
Crystal system: monoclinic
V (Å³/f.u.): 198
Total moment (μB per formula unit): 0.00
Energy relative to the elements, uncorrected (eV per atom): -1.2952



# 14
Material: Dy3GaSi2Pt9
Method: DFT, GGA-PBE
State: optimized geometry

Cell: 6.328 6.328 9.015 Å, 90.00 90.00 120.00°
Fractional positions:
Dy 0.000 0.000 0.000
Dy 0.333 0.667 0.727
Dy 0.667 0.333 0.273
Ga 0.000 0.000 0.500
Si 0.333 0.667 0.182
Si 0.667 0.333 0.818
Pt 0.000 0.500 0.000
Pt 0.143 0.286 0.278
Pt 0.143 0.857 0.278
Pt 0.286 0.143 0.722
Pt 0.500 0.000 0.000
Pt 0.500 0.500 0.000
Pt 0.714 0.857 0.278
Pt 0.857 0.143 0.722
Pt 0.857 0.714 0.722

Values from the calculation:
Crystal system: trigonal
V (Å³/f.u.): 313
Total moment (μB per formula unit): 0.00
Energy relative to the elements, uncorrected (eV per atom): -0.7542



# 15
Material: Dy2GaSiPt6
Method: DFT, GGA-PBE
State: optimized geometry

Cell: 5.547 8.623 8.139 Å, 90.00 90.00 90.00°
Fractional positions:
Dy 0.250 0.004 0.233
Dy 0.250 0.496 0.233
Dy 0.750 0.504 0.767
Dy 0.750 0.996 0.767
Ga 0.250 0.750 0.773
Ga 0.750 0.250 0.227
Si 0.250 0.250 0.745
Si 0.750 0.750 0.255
Pt 0.001 0.750 0.023
Pt 0.001 0.750 0.505
Pt 0.250 0.001 0.613
Pt 0.250 0.499 0.613
Pt 0.499 0.750 0.023
Pt 0.499 0.750 0.505
Pt 0.501 0.250 0.495
Pt 0.501 0.250 0.977
Pt 0.750 0.501 0.387
Pt 0.750 0.999 0.387
Pt 0.999 0.250 0.495
Pt 0.999 0.250 0.977

Values from the calculation:
Crystal system: orthorhombic
V (Å³/f.u.): 195
Total moment (μB per formula unit): 0.00
Energy relative to the elements, uncorrected (eV per atom): -0.9391



# 16
Material: Dy2Ga3SiPt4
Method: DFT, GGA-PBE
State: optimized geometry

Cell: 4.152 4.152 10.622 Å, 90.00 90.00 90.00°
Fractional positions:
Dy 0.000 0.500 0.241
Dy 0.500 0.000 0.759
Ga 0.000 0.000 0.000
Ga 0.000 0.500 0.638
Ga 0.500 0.000 0.362
Si 0.500 0.500 0.000
Pt 0.000 0.000 0.500
Pt 0.000 0.500 0.870
Pt 0.500 0.000 0.130
Pt 0.500 0.500 0.500

Values from the calculation:
Crystal system: tetragonal
V (Å³/f.u.): 183
Total moment (μB per formula unit): 0.00
Energy relative to the elements, uncorrected (eV per atom): -0.9755



# 17
Material: DyGa2Si2Pt7
Method: DFT, GGA-PBE
State: optimized geometry

Cell: 3.943 3.943 14.182 Å, 96.15 96.15 89.93°
Fractional positions:
Dy 0.000 0.000 0.000
Ga 0.099 0.099 0.410
Ga 0.901 0.901 0.590
Si 0.401 0.401 0.743
Si 0.599 0.599 0.257
Pt 0.062 0.562 0.160
Pt 0.367 0.367 0.578
Pt 0.438 0.938 0.840
Pt 0.500 0.500 0.000
Pt 0.562 0.062 0.160
Pt 0.633 0.633 0.422
Pt 0.938 0.438 0.840

Values from the calculation:
Crystal system: monoclinic
V (Å³/f.u.): 218
Total moment (μB per formula unit): 0.00
Energy relative to the elements, uncorrected (eV per atom): -0.6771



# 18
Material: SmDy2Ga2Pt7
Method: DFT, GGA-PBE
State: optimized geometry

Cell: 4.068 4.068 14.171 Å, 96.93 96.93 89.35°
Fractional positions:
Sm 0.000 0.000 0.000
Dy 0.133 0.133 0.358
Dy 0.867 0.867 0.642
Ga 0.392 0.392 0.738
Ga 0.608 0.608 0.262
Pt 0.066 0.566 0.158
Pt 0.351 0.351 0.564
Pt 0.434 0.934 0.842
Pt 0.500 0.500 0.000
Pt 0.566 0.066 0.158
Pt 0.649 0.649 0.436
Pt 0.934 0.434 0.842

Values from the calculation:
Crystal system: monoclinic
ΔE_f (eV/atom): -0.95
V (Å³/f.u.): 231
Total moment (μB per formula unit): 0.00



# 19
Material: Dy2Ga3SnPt4
Method: DFT, GGA-PBE
State: optimized geometry

Cell: 4.132 4.132 11.322 Å, 90.00 90.00 90.00°
Fractional positions:
Dy 0.000 0.500 0.244
Dy 0.500 0.000 0.756
Ga 0.000 0.500 0.869
Ga 0.500 0.000 0.131
Ga 0.500 0.500 0.500
Sn 0.000 0.000 0.500
Pt 0.000 0.000 0.000
Pt 0.000 0.500 0.654
Pt 0.500 0.000 0.346
Pt 0.500 0.500 0.000

Values from the calculation:
Crystal system: tetragonal
ΔE_f (eV/atom): -0.92
V (Å³/f.u.): 193
Total moment (μB per formula unit): 0.00



# 20
Material: SrDyGa2Pt2
Method: DFT, GGA-PBE
State: optimized geometry

Cell: 4.462 4.462 7.757 Å, 90.00 90.00 120.00°
Fractional positions:
Sr 0.000 0.000 0.000
Dy 0.000 0.000 0.500
Ga 0.333 0.667 0.716
Ga 0.667 0.333 0.284
Pt 0.333 0.667 0.294
Pt 0.667 0.333 0.706

Values from the calculation:
Crystal system: trigonal
ΔE_f (eV/atom): -0.98
V (Å³/f.u.): 134
Total moment (μB per formula unit): 0.00



# 21
Material: Sr2DyGa3Pt4
Method: DFT, GGA-PBE
State: optimized geometry

Cell: 4.421 4.421 11.134 Å, 90.00 90.00 90.00°
Fractional positions:
Sr 0.000 0.500 0.227
Sr 0.500 0.000 0.773
Dy 0.000 0.000 0.500
Ga 0.000 0.500 0.883
Ga 0.500 0.000 0.117
Ga 0.500 0.500 0.500
Pt 0.000 0.000 0.000
Pt 0.000 0.500 0.653
Pt 0.500 0.000 0.347
Pt 0.500 0.500 0.000

Values from the calculation:
Crystal system: tetragonal
ΔE_f (eV/atom): -0.90
V (Å³/f.u.): 218
Total moment (μB per formula unit): 0.00



# 22
Material: Dy8GaTe4Pt3
Method: DFT, GGA-PBE
State: optimized geometry

Cell: 8.760 8.760 8.760 Å, 56.57 56.57 56.57°
Fractional positions:
Dy 0.235 0.742 0.742
Dy 0.238 0.238 0.238
Dy 0.258 0.258 0.765
Dy 0.258 0.765 0.258
Dy 0.742 0.235 0.742
Dy 0.742 0.742 0.235
Dy 0.762 0.762 0.762
Dy 0.765 0.258 0.258
Ga 0.500 0.500 0.500
Te 0.000 0.000 0.000
Te 0.000 0.500 0.500
Te 0.500 0.000 0.500
Te 0.500 0.500 0.000
Pt 0.000 0.000 0.500
Pt 0.000 0.500 0.000
Pt 0.500 0.000 0.000

Values from the calculation:
Crystal system: trigonal
V (Å³/f.u.): 438
Total moment (μB per formula unit): 0.00
Energy relative to the elements, uncorrected (eV per atom): -1.1719